# K3P

K3P at its PBEsol-relaxed geometry (meta-GGA SCAN, Alexandria via LeMat-Bulk).

total magnetization	0.00	Bohr magnetons per cell
energy of formation	-0.0109	eV per atom
calculated total energy	-8.857	eV/atom

Cell lengths 3.9785, 3.9785, 10.9566 Å; angles 90.00, 90.00, 90.00 degrees
Closest atoms and distances in Å follow each position.
Space group P4/mmm (No. 123)
One atom of each set of equivalent atoms:
K (0.0000, 0.0000, 0.0000) (multiplicity 1)  4 K 3.98
K (0.5000, 0.5000, 0.3473) (multiplicity 2)  4 P 3.27, 1 K 3.35
P (0.0000, 0.0000, 0.5000) (multiplicity 1)  8 K 3.27